[1]
## Pr3Sb2N (PBE)

Data for a relaxed structure of Pr3Sb2N.

abc: 13.4819 6.5074 8.1255
angles: 90.00 102.18 90.00
Space group C2/c (No. 15)
Asymmetric unit:
Pr 0.0000 0.0994 0.2500 [4 per cell]
Pr 0.1369 0.4237 0.6496 [8 per cell]
Sb 0.1720 0.0684 0.0385 [8 per cell]
N 0.0000 0.4499 0.2500 [4 per cell]

## Properties
* formation energy from raw total energies: -1047 meV/atom
* D(E_F): 0.156 states/eV/atom
* total magnetic moment: 0.00 μB per formula unit
* calculated volume: 696.8 Å³/cell

[2]
## Rb4Ac3SnSe8 (PBE)

Data for a relaxed structure of Rb4Ac3SnSe8.

abc: 9.0661 9.0661 24.1763
angles: 90.00 90.00 120.00
Space group R-3m (No. 166, hexagonal axes)
Asymmetric unit:
Rb 0.0000 0.0000 0.0000 [3 per cell]
Rb 0.0000 0.5000 0.0000 [9 per cell]
Ac 0.0000 0.5000 0.5000 [9 per cell]
Sn 0.0000 0.0000 0.5000 [3 per cell]
Se 0.0000 0.0000 0.2367 [6 per cell]
Se 0.0146 0.5073 0.2341 [18 per cell]

## Properties
* formation energy from raw total energies: -1508 meV/atom
* D(E_F): 0.155 states/eV/atom
* total magnetic moment: 0.00 μB per formula unit
* calculated volume: 1721.0 Å³/cell

[3]
## PuFeH4 (PBE)

Data for a relaxed structure of PuFeH4.

abc: 3.5704 11.6534 4.8024
angles: 90.00 90.00 90.00
Space group Cmcm (No. 63)
Asymmetric unit:
Pu 0.0000 0.1313 0.2500 [4 per cell]
Fe 0.0000 0.4032 0.2500 [4 per cell]
H 0.0000 0.0889 0.7500 [4 per cell]
H 0.0000 0.3054 0.0141 [8 per cell]
H 0.0000 0.5000 0.0000 [4 per cell]

## Properties
* D(E_F): 1.574 states/eV/atom
* offset from the most stable computed form: 0 meV/atom
* total magnetic moment: 5.67 μB per formula unit
* calculated volume: 199.8 Å³/cell

[4]
## Cu2PbSe (PBE)

Data for a relaxed structure of Cu2PbSe.

abc: 3.3069 3.3069 7.2575
angles: 90.00 90.00 90.00
Space group P4mm (No. 99)
Asymmetric unit:
Cu 0.0000 0.0000 0.0000 [1 per cell]
Cu 0.5000 0.5000 0.1802 [1 per cell]
Pb 0.0000 0.0000 0.4381 [1 per cell]
Se 0.5000 0.5000 0.8461 [1 per cell]

## Properties
* formation energy from raw total energies: 116 meV/atom
* D(E_F): 0.429 states/eV/atom
* total magnetic moment: 0.00 μB per formula unit
* calculated volume: 79.4 Å³/cell

[5]
## HoPu2Th (PBE)

Data for a relaxed structure of HoPu2Th.

abc: 3.4737 3.4737 33.9548
angles: 90.00 90.00 120.00
Space group R3m (No. 160, hexagonal axes)
Asymmetric unit:
Ho 0.0000 0.0000 0.0000 [3 per cell]
Pu 0.0000 0.0000 0.4164 [3 per cell]
Pu 0.0000 0.0000 0.5838 [3 per cell]
Th 0.0000 0.0000 0.8345 [3 per cell]

## Properties
* D(E_F): 4.214 states/eV/atom
* energy of formation: 202 meV/atom
* offset from the most stable computed form: 37 meV/atom
* total magnetic moment: 0.20 μB per formula unit
* calculated volume: 354.8 Å³/cell

[6]
## YCrSn (PBE)

Data for a relaxed structure of YCrSn.

abc: 9.6586 4.3476 7.2028
angles: 90.00 109.38 90.00
Space group Cm (No. 8)
Asymmetric unit:
Y 0.0000 0.0000 0.0000 [2 per cell]
Y 0.2266 0.5000 0.4434 [2 per cell]
Cr 0.0169 0.0000 0.4664 [2 per cell]
Cr 0.0169 0.5000 0.6674 [2 per cell]
Sn 0.2564 0.0000 0.7874 [2 per cell]
Sn 0.3734 0.0000 0.2411 [2 per cell]

## Properties
* D(E_F): 0.639 states/eV/atom
* energy of formation: -115 meV/atom
* total magnetic moment: 0.08 μB per formula unit
* calculated volume: 285.3 Å³/cell

[7]
## Sr2RhW (PBE)

Data for a relaxed structure of Sr2RhW.

abc: 4.8476 4.8476 4.3303
angles: 90.00 90.00 90.00
Space group P4/mmm (No. 123)
Asymmetric unit:
Sr 0.0000 0.5000 0.0000 [2 per cell]
Rh 0.0000 0.0000 0.5000 [1 per cell]
W 0.5000 0.5000 0.5000 [1 per cell]

## Properties
* D(E_F): 0.722 states/eV/atom
* energy of formation: 1010 meV/atom
* offset from the most stable computed form: 618 meV/atom
* total magnetic moment: 3.37 μB per formula unit
* calculated volume: 101.8 Å³/cell

[8]
## AlCoTc2Cl (PBE)

Data for a relaxed structure of AlCoTc2Cl.

abc: 4.6207 4.6207 4.3009
angles: 90.00 90.00 90.00
Space group P4/mmm (No. 123)
Asymmetric unit:
Al 0.0000 0.0000 0.0000 [1 per cell]
Co 0.0000 0.0000 0.5000 [1 per cell]
Tc 0.0000 0.5000 0.0000 [2 per cell]
Cl 0.5000 0.5000 0.5000 [1 per cell]

## Properties
* formation energy from raw total energies: 1636 meV/atom
* D(E_F): 1.976 states/eV/atom
* total magnetic moment: 1.14 μB per formula unit
* calculated volume: 91.8 Å³/cell

[9]
## La4InPd12 (PBE)

Data for a relaxed structure of La4InPd12.

abc: 8.7520 8.7520 8.7520
angles: 90.00 90.00 90.00
Space group Im-3m (No. 229)
Asymmetric unit:
La 0.2500 0.2500 0.2500 [8 per cell]
In 0.0000 0.0000 0.0000 [2 per cell]
Pd 0.0000 0.0000 0.3032 [12 per cell]
Pd 0.0000 0.2500 0.5000 [12 per cell]

## Properties
* D(E_F): 0.283 states/eV/atom
* energy of formation: -802 meV/atom
* total magnetic moment: 0.00 μB per formula unit
* calculated volume: 670.4 Å³/cell

[10]
## K2MgSe (PBE)

Data for a relaxed structure of K2MgSe.

abc: 14.2616 4.0287 5.5212
angles: 90.00 112.75 90.00
Space group Cm (No. 8)
Asymmetric unit:
K 0.0000 0.0000 0.0000 [2 per cell]
K 0.1760 0.0000 0.6759 [2 per cell]
Mg 0.3204 0.5000 0.3194 [2 per cell]
Se 0.4590 0.0000 0.4592 [2 per cell]

## Properties
* formation energy from raw total energies: -598 meV/atom
* D(E_F): 0.154 states/eV/atom
* offset from the most stable computed form: 26 meV/atom
* total magnetic moment: 0.00 μB per formula unit
* calculated volume: 292.5 Å³/cell

[11]
## TbUSe4 (PBE)

Data for a relaxed structure of TbUSe4.

abc: 13.8364 4.1671 7.1141
angles: 90.00 98.70 90.00
Space group C2/m (No. 12)
Asymmetric unit:
Tb 0.0000 0.0000 0.0000 [2 per cell]
U 0.0000 0.5000 0.5000 [2 per cell]
Se 0.1106 0.0000 0.3796 [4 per cell]
Se 0.1107 0.5000 0.8510 [4 per cell]

## Properties
* formation energy from raw total energies: -1375 meV/atom
* D(E_F): 0.711 states/eV/atom
* offset from the most stable computed form: 0 meV/atom
* total magnetic moment: 1.00 μB per formula unit
* calculated volume: 405.5 Å³/cell

[12]
## Ga4RuRh3 (PBE)

Data for a relaxed structure of Ga4RuRh3.

abc: 4.2863 4.2863 6.0647
angles: 90.00 90.00 90.00
Space group P4/mmm (No. 123)
Asymmetric unit:
Ga 0.0000 0.5000 0.2469 [4 per cell]
Ru 0.0000 0.0000 0.0000 [1 per cell]
Rh 0.0000 0.0000 0.5000 [1 per cell]
Rh 0.5000 0.5000 0.0000 [1 per cell]
Rh 0.5000 0.5000 0.5000 [1 per cell]

## Properties
* D(E_F): 0.331 states/eV/atom
* energy of formation: -627 meV/atom
* total magnetic moment: 0.00 μB per formula unit
* calculated volume: 111.4 Å³/cell

- Look up the calculated volume of the fifth one.
  354.8 Å³/cell

- Which formula does entry 8 have?
  AlCoTc2Cl

- D(E_F) of number 11 (TbUSe4)?
  0.711 states/eV/atom

- Number 11 is which compound?
  TbUSe4